Density functional theory data (GGA-PBE) for a relaxed structure of Cu2Se.

POSCAR file:
```
Cu2Se
1.0
-1.676 -2.800 2.749
3.828 -1.825 0.475
2.207 6.776 8.247
Se Cu
4 8
Cartesian
3.050 -0.797 7.041
3.255 2.862 7.581
1.103 -0.712 3.890
0.205 -0.440 0.307
4.549 2.849 9.671
0.552 1.584 4.578
3.095 -1.681 2.978
2.674 3.001 5.196
0.941 -3.133 3.497
2.767 0.905 3.292
0.903 2.726 7.147
1.952 2.351 9.525
```

Values from the calculation:
**Total DFT energy (no corrections)**: -44.376 eV for the cell shown
**Volume**: 198 Å³ per cell

Density functional theory data (GGA-PBE) for a relaxed structure of Pu2U.

POSCAR file:
```
Pu2U
1.0
-6.319 -3.449 -4.055
-5.053 -5.238 3.912
-7.754 2.263 1.741
Pu U
4 2
Cartesian
-7.172 -2.409 0.599
-11.049 -1.278 1.469
-9.699 -5.028 2.555
-10.332 -4.134 -1.429
-4.782 -1.606 0.399
-9.563 -3.212 0.799
```

Values from the calculation:
**Total magnetic moment**: 25.589 μB per cell
**Total DFT energy (no corrections)**: -67.755 eV for the cell shown
**ΔE_f**: 43.60 kcal/mol of atoms
**Volume**: 399 Å³ per cell

Density functional theory data (GGA-PBE) for a relaxed structure of Sc2Ge3Mo4C3.

POSCAR file:
```
Sc2Ge3Mo4C3
1.0
4.740 -2.751 0.000
4.740 2.751 0.000
-3.162 0.000 13.033
C Mo Ge Sc
6 8 6 4
Cartesian
2.370 -1.375 0.000
0.789 1.375 6.516
3.960 1.388 6.520
2.359 -1.388 6.513
0.778 1.388 13.029
5.540 -1.388 0.003
5.492 0.435 7.589
7.121 -0.499 5.444
0.827 -0.435 5.444
5.540 0.499 11.961
-0.803 0.499 7.588
7.073 -0.435 1.073
-0.754 0.435 11.960
0.778 -0.499 1.072
5.758 0.570 3.251
0.561 -0.570 9.782
2.141 0.570 3.266
2.369 2.574 9.775
4.177 -0.570 9.767
3.950 -2.574 3.258
3.940 -0.450 5.155
2.378 0.450 7.878
3.959 -0.450 1.362
2.359 0.450 11.671
```

Values from the calculation:
**Total magnetic moment**: 0.005 μB per cell
**Total DFT energy (no corrections)**: -204.111 eV for the cell shown
**Volume**: 340 Å³ per cell

Density functional theory data (GGA-PBE) for a relaxed structure of SmTlAg.

POSCAR file:
```
SmTlAg
1.0
4.975 0.000 0.000
-2.488 4.309 0.000
0.000 0.000 3.473
Sm Tl Ag
1 1 1
Cartesian
0.000 2.873 2.315
2.488 1.436 0.578
0.000 0.000 0.580
```

Values from the calculation:
**Total magnetic moment**: 0.021 μB per cell
**Total DFT energy (no corrections)**: -10.835 eV for the cell shown
**Volume**: 74 Å³ per cell

Density functional theory data (GGA-PBE) for a relaxed structure of RbAgIr.

POSCAR file:
```
RbAgIr
1.0
0.000 3.464 3.464
3.464 0.000 3.464
3.464 3.464 0.000
Rb Ag Ir
1 1 1
Cartesian
5.196 5.196 5.196
1.732 1.732 1.732
0.000 0.000 0.000
```

Values from the calculation:
**Total magnetic moment**: 1.000 μB per cell
**Total DFT energy (no corrections)**: -8.730 eV for the cell shown
**Energy relative to the lowest polymorph listed for this composition**: 0.000 eV per atom
**Volume**: 83 Å³ per cell

Density functional theory data (GGA-PBE) for a relaxed structure of TaCuAgGe.

POSCAR file:
```
TaCuAgGe
1.0
0.000 3.207 3.207
3.207 0.000 3.207
3.207 3.207 0.000
Ag Ge Cu Ta
1 1 1 1
Cartesian
1.603 1.603 1.603
0.000 0.000 0.000
4.810 4.810 4.810
3.207 3.207 3.207
```

Values from the calculation:
**Total magnetic moment**: 0.674 μB per cell
**Total DFT energy (no corrections)**: -20.720 eV for the cell shown
**Energy relative to the lowest polymorph listed for this composition**: 0.243 eV per atom
**Volume**: 66 Å³ per cell

Density functional theory data (GGA-PBE) for a relaxed structure of BaAlHg.

POSCAR file:
```
BaAlHg
1.0
0.000 3.745 3.745
3.745 0.000 3.745
3.745 3.745 0.000
Hg Al Ba
1 1 1
Cartesian
0.000 0.000 0.000
1.872 1.872 1.872
5.617 5.617 5.617
```

Values from the calculation:
**Total DFT energy (no corrections)**: -6.159 eV for the cell shown
**Energy relative to the lowest polymorph listed for this composition**: 0.000 eV per atom
**Volume**: 105 Å³ per cell

Density functional theory data (GGA-PBE) for a relaxed structure of Sr2NbIrN2O4.

POSCAR file:
```
Sr2NbIrN2O4
1.0
5.663 0.000 0.000
0.000 5.678 0.000
0.008 0.014 7.949
Sr O N Ir Nb
4 8 4 2 2
Cartesian
0.045 2.771 1.945
2.911 0.107 2.042
2.804 0.091 6.011
5.583 2.808 5.932
4.358 1.463 0.128
5.658 5.467 1.965
1.504 1.404 3.804
4.082 4.456 4.142
1.225 4.043 7.762
2.874 2.630 5.927
1.550 1.217 0.143
4.369 1.595 3.810
1.361 4.209 4.097
2.843 3.024 2.013
0.050 0.155 5.997
4.169 4.356 7.854
5.620 5.597 7.874
2.784 2.959 3.921
2.864 2.904 0.074
0.059 5.658 4.046
```

Values from the calculation:
**Total magnetic moment**: 0.108 μB per cell
**Total DFT energy (no corrections)**: -150.535 eV for the cell shown
**Energy relative to the lowest polymorph listed for this composition**: 0.013 eV per atom
**Volume**: 256 Å³ per cell

Please write out number 3 again, unchanged.
Density functional theory data (GGA-PBE) for a relaxed structure of Sc2Ge3Mo4C3.

POSCAR file:
```
Sc2Ge3Mo4C3
1.0
4.740 -2.751 0.000
4.740 2.751 0.000
-3.162 0.000 13.033
C Mo Ge Sc
6 8 6 4
Cartesian
2.370 -1.375 0.000
0.789 1.375 6.516
3.960 1.388 6.520
2.359 -1.388 6.513
0.778 1.388 13.029
5.540 -1.388 0.003
5.492 0.435 7.589
7.121 -0.499 5.444
0.827 -0.435 5.444
5.540 0.499 11.961
-0.803 0.499 7.588
7.073 -0.435 1.073
-0.754 0.435 11.960
0.778 -0.499 1.072
5.758 0.570 3.251
0.561 -0.570 9.782
2.141 0.570 3.266
2.369 2.574 9.775
4.177 -0.570 9.767
3.950 -2.574 3.258
3.940 -0.450 5.155
2.378 0.450 7.878
3.959 -0.450 1.362
2.359 0.450 11.671
```

Values from the calculation:
**Total magnetic moment**: 0.005 μB per cell
**Total DFT energy (no corrections)**: -204.111 eV for the cell shown
**Volume**: 340 Å³ per cell